1.
The following is a PBE-GGA calculation of AcAl2Ni2 after structural relaxation, from Alexandria via LeMat-Bulk.

abc: 5.9707 9.7564 13.3260
angles: 90.00 90.00 90.00
With the nearest neighbours (Å) after each atom.
Space group Fddd (No. 70, origin choice 2)
Symmetry-distinct sites (fractional):
Ac 0.1250 0.1250 0.1250 x8  2 Ni 2.96
Al 0.1250 0.1250 0.5126 x16  4 Ni 2.42-2.43
Ni 0.1250 0.3212 0.6250 x16  4 Al 2.42-2.43

Properties
Its total energy is -25.188 eV per formula unit. As for the energy of formation: -406 meV per atom.

***

2.
The following is a PBE-GGA calculation of Dy2HgI2 after structural relaxation, from Alexandria via LeMat-Bulk.

abc: 4.1273 4.1273 36.1768
angles: 90.00 90.00 120.00
With the nearest neighbours (Å) after each atom.
Space group R-3m (No. 166, hexagonal axes)
Symmetry-distinct sites (fractional):
Dy 0.0000 0.0000 0.1142 x6  3 Hg 3.05, 3 I 3.14
Hg 0.0000 0.0000 0.5000 x3  6 Dy 3.05
I 0.0000 0.0000 0.2756 x6  3 Dy 3.14

Properties
Its total energy is -17.252 eV per formula unit. Its energy relative to the elements, uncorrected is -89.6 kJ per mole of atoms.

***

3.
The following is a PBE-GGA calculation of ScHIO2 after structural relaxation, from Alexandria via LeMat-Bulk.

abc: 4.2400 4.2400 3.4999
angles: 90.00 90.00 90.00
With the nearest neighbours (Å) after each atom.
Space group P4/mmm (No. 123)
Symmetry-distinct sites (fractional):
Sc 0.0000 0.0000 0.0000 x1  8 O 2.75, 4 I 3.00
H 0.5000 0.5000 0.5000 x1  2 I 1.75
I 0.5000 0.5000 0.0000 x1  2 H 1.75
O 0.0000 0.5000 0.5000 x2  2 H 2.12

Properties
Its total energy is -21.903 eV per formula unit.